1.
An optimized crystal structure of Rb2TiB, computed with PBE.

The structure belongs to space group Fm-3m (No. 225); the cell edges are 8.161, 8.161 and 8.161 Å and the angles 90.00°, 90.00° and 90.00°. The distinct sites, in fractional coordinates, are Rb at (0.250, 0.250, 0.250), Ti at (0.000, 0.000, 0.000) and B at (0.000, 0.000, 0.500).

The value obtained for the energy above the most stable polymorph in this dataset is 1.063 eV/atom. The value obtained for the density of states at the Fermi level is 11.56 states/eV/f.u. As for the volume: 544 Å³/cell. The calculation puts the formation energy at 2078 meV/atom.

2.
An optimized crystal structure of RbTiB, computed with PBE.

The structure belongs to space group Pm (No. 6); the cell edges are 3.438, 5.057 and 10.495 Å and the angles 90.00°, 94.07° and 90.00°. The distinct sites, in fractional coordinates, are Rb at (0.000, 0.000, 0.000), Rb at (0.371, 0.500, 0.406), Ti at (0.425, 0.000, 0.657), Ti at (0.449, 0.500, 0.766) and B at (0.927, 0.328, 0.666).

The value obtained for the energy above the most stable polymorph in this dataset is 0.185 eV/atom. The value obtained for the density of states at the Fermi level is 1.79 states/eV/f.u. As for the volume: 182 Å³/cell. The calculation puts the formation energy at 358 meV/atom.

3.
An optimized crystal structure of Rb3TiB, computed with PBE.

The structure belongs to space group Pm-3m (No. 221); the cell edges are 6.329, 6.329 and 6.329 Å and the angles 90.00°, 90.00° and 90.00°. The distinct sites, in fractional coordinates, are Rb at (0.000, 0.000, 0.500), Ti at (0.500, 0.500, 0.500) and B at (0.000, 0.000, 0.000).

The value obtained for the energy above the most stable polymorph in this dataset is 0.000 eV/atom. The value obtained for the density of states at the Fermi level is 22.41 states/eV/f.u. As for the volume: 254 Å³/cell. The calculation puts the formation energy at 1702 meV/atom.

- Which value of volume does entry 1 give?
  544 Å³/cell

What did the third record say?
An optimized crystal structure of Rb3TiB, computed with PBE.

The structure belongs to space group Pm-3m (No. 221); the cell edges are 6.329, 6.329 and 6.329 Å and the angles 90.00°, 90.00° and 90.00°. The distinct sites, in fractional coordinates, are Rb at (0.000, 0.000, 0.500), Ti at (0.500, 0.500, 0.500) and B at (0.000, 0.000, 0.000).

The value obtained for the energy above the most stable polymorph in this dataset is 0.000 eV/atom. The value obtained for the density of states at the Fermi level is 22.41 states/eV/f.u. As for the volume: 254 Å³/cell. The calculation puts the formation energy at 1702 meV/atom.

- Which of these has the lowest energy above the most stable polymorph in this dataset?
  Rb3TiB

- Number 2 is which compound?
  RbTiB